The following is a DFT calculation (PBE) of a relaxed KDyBiTe3 crystal.

Cell lengths 8.768, 8.768, 11.853 Å; angles 90.00, 90.00, 150.70 degrees
Fractional positions:
K: 0.235 0.765 0.750
K: 0.765 0.235 0.250
Dy: 0.000 0.000 0.000
Dy: 0.000 0.000 0.500
Bi: 0.460 0.540 0.250
Bi: 0.540 0.460 0.750
Te: 0.095 0.905 0.250
Te: 0.370 0.630 0.029
Te: 0.370 0.630 0.471
Te: 0.630 0.370 0.529
Te: 0.630 0.370 0.971
Te: 0.905 0.095 0.750

## Properties
The total magnetization comes out at 0.01 μB per formula unit. The space-group type is No. 63. The value obtained for the electronic total energy is -47.30 eV/cell.